(1)
Here is an optimized crystal structure of La2B2Cl from the Alexandria database. Energies are from PBE.

Cell: 5.030 5.030 5.451 Å, 62.52 62.52 90.00°
Sites, in units of the cell vectors:
B  0.407  0.407  0.186
B  0.593  0.593  0.814
Cl  0.000  0.000  0.000
La  0.750  0.250  0.500
La  0.250  0.750  0.500

Results
Calculated density (g/cm³): 5.3
Energy relative to the elements, uncorrected (meV/atom): -421
Magnetization (μB per formula unit): 0.00



(2)
Here is an optimized crystal structure of CuPtAu3 from the Alexandria database. Energies are from PBE.

Cell: 4.676 4.676 4.676 Å, 90.00 90.00 90.00°
Sites, in units of the cell vectors:
Au  0.000  0.500  0.000
Au  0.000  0.000  0.500
Au  0.500  0.000  0.000
Cu  0.000  0.000  0.000
Pt  0.500  0.500  0.500

Results
Calculated density (g/cm³): 13.8
Energy of formation (eV per atom): 0.847
Magnetization (μB per formula unit): 0.00



(3)
Here is an optimized crystal structure of NaPuNp2S4 from the Alexandria database. Energies are from PBE.

Cell: 3.933 6.842 6.918 Å, 109.31 90.00 90.00°
Each line ends with the local moment (μB).
Sites, in units of the cell vectors:
Na  0.000  0.000  0.000  0.00
Pu  0.500  0.500  0.000  -5.19
Np  0.500  0.000  0.500  3.86
Np  0.000  0.500  0.500  3.81
S  0.500  0.255  0.260  -0.05
S  0.500  0.745  0.740  -0.05
S  0.000  0.251  0.746  -0.02
S  0.000  0.749  0.254  -0.02

Results
Calculated density (g/cm³): 8.2
Energy relative to the elements, uncorrected (meV/atom): -1402
Magnetization (μB per formula unit): 2.76



(4)
Here is an optimized crystal structure of PrHoIr4 from the Alexandria database. Energies are from PBE.

Cell: 5.407 5.407 5.407 Å, 60.00 60.00 60.00°
Sites, in units of the cell vectors:
Pr  0.000  0.000  0.000
Ir  0.625  0.625  0.126
Ir  0.625  0.126  0.625
Ir  0.625  0.625  0.625
Ir  0.126  0.625  0.625
Ho  0.250  0.250  0.250

Results
Calculated density (g/cm³): 16.0
Energy of formation (eV per atom): -0.730
Magnetization (μB per formula unit): 0.00



(5)
Here is an optimized crystal structure of Ni2HIrOs from the Alexandria database. Energies are from PBE.

Cell: 3.799 3.799 3.696 Å, 90.00 90.00 90.00°
Sites, in units of the cell vectors:
Ni  0.000  0.500  0.000
Ni  0.500  0.000  0.000
Ir  0.500  0.500  0.500
Os  0.000  0.000  0.500
H  0.000  0.000  0.000

Results
Calculated density (g/cm³): 15.6
Magnetization (μB per formula unit): 0.00



(6)
Here is an optimized crystal structure of Ba3Ga3Pt from the Alexandria database. Energies are from PBE.

Cell: 4.471 6.870 15.401 Å, 84.45 81.65 71.01°
Sites, in units of the cell vectors:
Ba  0.516  0.358  0.609
Ba  0.484  0.642  0.391
Ba  0.257  0.248  0.237
Ba  0.743  0.752  0.763
Ba  0.391  0.300  0.919
Ba  0.609  0.700  0.081
Ga  0.808  0.845  0.539
Ga  0.192  0.155  0.461
Ga  0.093  0.890  0.923
Ga  0.907  0.110  0.077
Ga  0.951  0.856  0.241
Ga  0.049  0.144  0.759
Pt  0.777  0.058  0.388
Pt  0.223  0.942  0.612

Results
Calculated density (g/cm³): 6.1
Energy of formation (eV per atom): -0.515
Magnetization (μB per formula unit): 0.00



(7)
Here is an optimized crystal structure of GaCuIrO4 from the Alexandria database. Energies are from PBE.

Cell: 5.966 6.084 6.177 Å, 120.51 90.00 119.36°
Each line ends with the local moment (μB).
Sites, in units of the cell vectors:
Ga  0.500  0.500  0.500  0.01
Ga  0.000  0.500  0.500  0.01
Cu  0.866  0.733  0.116  0.31
Cu  0.134  0.267  0.884  0.31
Ir  0.500  0.000  0.500  0.36
Ir  0.500  0.000  0.000  0.36
O  0.737  0.475  0.708  0.04
O  0.287  0.029  0.264  0.05
O  0.741  0.029  0.264  0.05
O  0.737  0.475  0.267  0.04
O  0.263  0.525  0.733  0.04
O  0.713  0.971  0.736  0.05
O  0.259  0.971  0.736  0.05
O  0.263  0.525  0.292  0.04

Results
Calculated density (g/cm³): 8.1
Energy relative to the elements, uncorrected (meV/atom): -982
Magnetization (μB per formula unit): 0.91



(8)
Here is an optimized crystal structure of GaAgGeSe4 from the Alexandria database. Energies are from PBE.

Cell: 5.992 5.992 6.744 Å, 116.38 116.38 90.00°
Sites, in units of the cell vectors:
Ga  0.500  0.500  0.000
Ag  0.000  0.000  0.000
Ge  0.250  0.750  0.500
Se  0.130  0.125  0.726
Se  0.400  0.870  0.274
Se  0.595  0.600  0.726
Se  0.875  0.405  0.274

Results
Calculated density (g/cm³): 5.0
Energy relative to the elements, uncorrected (meV/atom): -376
Magnetization (μB per formula unit): 0.00



(9)
Here is an optimized crystal structure of KTiS3 from the Alexandria database. Energies are from PBE.

Cell: 6.421 7.071 7.348 Å, 108.67 115.91 90.00°
Sites, in units of the cell vectors:
K  0.390  0.667  0.779
K  0.610  0.333  0.221
Ti  0.789  0.980  0.577
Ti  0.211  0.020  0.423
S  0.921  0.760  0.346
S  0.065  0.137  0.130
S  0.425  0.760  0.346
S  0.575  0.240  0.654
S  0.079  0.240  0.654
S  0.935  0.863  0.870

Results
Calculated density (g/cm³): 2.2
Energy relative to the elements, uncorrected (meV/atom): -1149
Magnetization (μB per formula unit): 0.00



(10)
Here is an optimized crystal structure of Sc3AsP from the Alexandria database. Energies are from PBE.

Cell: 3.879 6.143 8.398 Å, 90.48 90.00 90.00°
Sites, in units of the cell vectors:
Sc  0.250  0.010  0.330
Sc  0.250  0.489  0.331
Sc  0.250  0.257  0.928
Sc  0.750  0.990  0.670
Sc  0.750  0.743  0.072
Sc  0.750  0.511  0.669
As  0.750  0.248  0.154
As  0.250  0.752  0.846
P  0.750  0.750  0.404
P  0.250  0.250  0.596

Results
Calculated density (g/cm³): 4.0
Energy of formation (eV per atom): -1.171
Magnetization (μB per formula unit): 0.00



(11)
Here is an optimized crystal structure of MnCu from the Alexandria database. Energies are from PBE.

Cell: 2.512 2.512 4.161 Å, 90.00 90.00 109.07°
Each line ends with the local moment (μB).
Sites, in units of the cell vectors:
Cu  0.000  0.000  0.000  0.12
Mn  0.500  0.500  0.500  2.71

Results
Calculated density (g/cm³): 7.9
Energy of formation (eV per atom): 0.290
Magnetization (μB per formula unit): 2.88



(12)
Here is an optimized crystal structure of In2FeNi from the Alexandria database. Energies are from PBE.

Cell: 4.510 4.510 5.434 Å, 79.53 79.53 38.72°
Each line ends with the local moment (μB).
Sites, in units of the cell vectors:
Fe  0.250  0.250  0.250  2.42
In  0.004  0.004  0.995  -0.05
In  0.496  0.496  0.505  -0.05
Ni  0.750  0.750  0.750  0.02

Results
Calculated density (g/cm³): 8.4
Energy of formation (eV per atom): 0.280
Magnetization (μB per formula unit): 2.29



(13)
Here is an optimized crystal structure of Sm2NpCr2C4 from the Alexandria database. Energies are from PBE.

Cell: 3.421 6.784 6.025 Å, 108.51 90.00 104.60°
Each line ends with the local moment (μB).
Sites, in units of the cell vectors:
Sm  0.865  0.730  0.460  0.02
Sm  0.135  0.270  0.540  0.02
Np  0.000  0.000  0.000  2.77
Cr  0.318  0.637  0.003  0.15
Cr  0.682  0.363  0.997  0.15
C  0.782  0.564  0.812  -0.01
C  0.218  0.436  0.188  -0.01
C  0.460  0.919  0.233  -0.06
C  0.540  0.081  0.767  -0.06

Results
Calculated density (g/cm³): 9.0
Energy of formation (eV per atom): -0.003
Magnetization (μB per formula unit): 3.06



(14)
Here is an optimized crystal structure of CeHPt from the Alexandria database. Energies are from PBE.

Cell: 4.113 3.831 12.356 Å, 90.00 90.00 90.00°
Each line ends with the local moment (μB).
Sites, in units of the cell vectors:
Ce  0.750  0.500  0.148  0.29
Ce  0.750  0.000  0.648  0.29
Ce  0.250  0.500  0.852  0.29
Ce  0.250  0.000  0.352  0.29
H  0.750  0.000  0.256  0.00
H  0.750  0.500  0.756  0.00
H  0.250  0.500  0.244  0.00
H  0.250  0.000  0.744  0.00
Pt  0.750  0.500  0.424  -0.01
Pt  0.750  0.000  0.924  -0.01
Pt  0.250  0.000  0.076  -0.01
Pt  0.250  0.500  0.576  -0.01

Results
Calculated density (g/cm³): 11.5
Magnetization (μB per formula unit): 0.34



(15)
Here is an optimized crystal structure of Na2SnS2 from the Alexandria database. Energies are from PBE.

Cell: 5.057 7.681 13.855 Å, 90.00 90.00 90.00°
Sites, in units of the cell vectors:
Na  0.750  0.532  0.601
Na  0.250  0.968  0.101
Na  0.250  0.468  0.399
Na  0.750  0.032  0.899
Na  0.750  0.156  0.239
Na  0.250  0.344  0.739
Na  0.250  0.844  0.761
Na  0.750  0.656  0.261
Sn  0.750  0.091  0.520
Sn  0.250  0.409  0.020
Sn  0.250  0.909  0.480
Sn  0.750  0.591  0.980
S  0.750  0.194  0.685
S  0.250  0.306  0.185
S  0.250  0.806  0.315
S  0.750  0.694  0.815
S  0.750  0.844  0.087
S  0.250  0.656  0.587
S  0.250  0.156  0.913
S  0.750  0.344  0.413

Results
Calculated density (g/cm³): 2.8
Energy relative to the elements, uncorrected (meV/atom): -832
Magnetization (μB per formula unit): 0.00



(16)
Here is an optimized crystal structure of Dy7ErSc3 from the Alexandria database. Energies are from PBE.

Cell: 8.231 6.931 6.931 Å, 120.00 90.00 90.00°
Sites, in units of the cell vectors:
Dy  0.106  0.168  0.832
Dy  0.106  0.168  0.336
Dy  0.118  0.667  0.333
Dy  0.461  0.832  0.168
Dy  0.461  0.336  0.168
Dy  0.461  0.832  0.664
Dy  0.106  0.664  0.832
Er  0.449  0.333  0.667
Sc  0.783  0.500  0.500
Sc  0.783  0.500  0.999
Sc  0.783  0.001  0.500

Results
Calculated density (g/cm³): 7.0
Energy of formation (eV per atom): 0.219
Magnetization (μB per formula unit): 0.00



(17)
Here is an optimized crystal structure of Ca2TaOs from the Alexandria database. Energies are from PBE.

Cell: 4.300 4.300 8.151 Å, 74.94 74.94 59.87°
Sites, in units of the cell vectors:
Ca  0.966  0.966  0.100
Ca  0.787  0.787  0.644
Os  0.535  0.535  0.394
Ta  0.213  0.213  0.362

Results
Calculated density (g/cm³): 6.0
Energy of formation (eV per atom): 0.246
Magnetization (μB per formula unit): 0.00



(18)
Here is an optimized crystal structure of AcLa8Tm2 from the Alexandria database. Energies are from PBE.

Cell: 5.699 8.670 9.707 Å, 116.52 107.03 90.00°
Sites, in units of the cell vectors:
Ac  0.500  0.000  0.000
La  0.645  0.843  0.290
La  0.355  0.554  0.710
La  0.159  0.159  0.318
La  0.000  0.298  0.000
La  0.841  0.841  0.682
La  0.645  0.446  0.290
La  0.355  0.157  0.710
La  0.000  0.702  0.000
Tm  0.202  0.702  0.404
Tm  0.798  0.298  0.596

Results
Calculated density (g/cm³): 6.9
Energy of formation (eV per atom): 0.106
Magnetization (μB per formula unit): 0.00



What are the raw total energy values for these records? In order: -5.432; -3.147; -8.657; -8.196; -6.806; -3.499; -6.098; -3.866; -5.424; -6.982; -6.343; -4.650; -8.728; -5.936; -3.811; -4.851; -6.525; -4.664 eV per atom.